Computed, not measured: crystalline CsGdMo2O8 at its relaxed geometry at the GGA+U level of DFT.

Computed properties:
* space group: C2/c, No. 15
* energy: -188.5 eV per cell
* ρ: 5.78 g cm⁻³

```
24
Lattice="1.1925 -6.0636 -4.5319 2.8742 -4.0564 5.8320 -3.5588 -6.7694 1.8885" Properties=species:S:1:pos:R:3 pbc="T T T"
Cs -1.1530 -10.7544 -1.1214
Cs 1.6609 -6.1349 4.3100
Gd -0.1784 -9.5912 4.8849
Gd 0.6863 -7.2982 -1.6963
Mo 0.0751 -12.2013 2.3599
Mo 0.4328 -4.6881 0.8287
Mo -1.3438 -8.0695 1.7899
Mo 1.8518 -8.8199 1.3987
O 0.6230 -10.9491 1.2272
O -0.1150 -5.9403 1.9614
O -2.1361 -9.6135 1.4162
O 2.6441 -7.2759 1.7724
O -1.9393 -7.8659 3.5338
O 2.4473 -9.0235 -0.3452
O 1.1851 -11.7908 3.7869
O -0.6772 -5.0986 -0.5983
O -1.3083 -11.1636 3.5571
O 1.8162 -5.7258 -0.3685
O 0.3976 -8.6798 2.7993
O 0.1103 -8.2095 0.3893
O 0.8516 -13.6726 1.6284
O -0.3436 -3.2168 1.5602
O -2.3919 -6.9224 0.8473
O 2.8999 -9.9669 2.3413
```